## NaRuWO6 (PBE+U)

Data for a relaxed NaRuWO6 crystal.

Calculated values
VASP energy (eV/atom): -6.75
M_tot (μB per atom): 0.28

```
data_NaRuWO6
_symmetry_space_group_name_H-M 'P 42 n m'
_symmetry_Int_Tables_number 102
_symmetry_space_group_name_Hall 'P 4n -2n'
_cell_length_a 4.854
_cell_length_b 4.854
_cell_length_c 9.249
_cell_angle_alpha 90.00
_cell_angle_beta 90.00
_cell_angle_gamma 90.00
loop_
_atom_site_label
_atom_site_type_symbol
_atom_site_fract_x
_atom_site_fract_y
_atom_site_fract_z
Na1 Na 0.000 0.000 0.000
Ru1 Ru 0.000 0.000 0.327
W1 W 0.000 0.000 0.668
O1 O 0.174 0.174 0.497
O2 O 0.216 0.216 0.804
O3 O 0.218 0.218 0.187
```